! HoGaNiRh PBE relaxed; values from VASP
&SYSTEM
  ibrav = 0, nat = 4, ntyp = 4
/
ATOMIC_SPECIES
Ni 58.69 Ni.upf
Rh 102.91 Rh.upf
Ho 164.93 Ho.upf
Ga 69.72 Ga.upf
ATOMIC_POSITIONS crystal
Ni 0.250 0.250 0.250
Rh 0.750 0.750 0.750
Ho 0.500 0.500 0.500
Ga 0.000 0.000 0.000
CELL_PARAMETERS angstrom
-3.975 2.025 0.693
-2.350 -0.867 3.756
-0.394 3.164 3.197
! SG: F-43m
! DOS at the Fermi energy in states/eV per atom: 0.802
! Final energy in eV/atom: -5.78